# 1
KBa2P | PBE-GGA | optimized geometry

Lattice parameters (Å, degrees): 4.662 4.662 12.227 79.01 79.01 60.00
Positions (direct):
Ba (0.048, 0.048, 0.857)
Ba (0.285, 0.285, 0.144)
K (0.501, 0.501, 0.498)
P (0.666, 0.666, 0.001)

The crystal system is trigonal. The value obtained for the magnetic moment is 0.00 μB per formula unit. The calculation puts the theoretical density at 2550 kg/m3. As for the space group: R3m, No. 160. The density of states at the Fermi level comes out at 2.64 states/eV/cell. For the formation energy, the calculation gives -0.619 eV/atom.

=====

# 2
K2BaP | PBE-GGA | optimized geometry

Lattice parameters (Å, degrees): 7.415 7.415 4.897 71.59 71.59 125.63
Positions (direct):
P (0.500, 0.000, 0.500)
K (0.500, 0.500, 0.000)
K (0.000, 0.000, 0.000)
Ba (0.000, 0.500, 0.500)

The crystal system is orthorhombic. The value obtained for the magnetic moment is 0.00 μB per formula unit. The calculation puts the theoretical density at 2587 kg/m3. As for the space group: Fmmm, No. 69. The density of states at the Fermi level comes out at 1.71 states/eV/cell. For the formation energy, the calculation gives -0.063 eV/atom.

=====

# 3
K2BaP | PBE-GGA | optimized geometry

Lattice parameters (Å, degrees): 4.812 4.812 6.975 90.00 90.00 90.00
Site moments in Bohr magnetons follow the coordinates.
Positions (direct):
Ba (0.500, 0.500, 0.750)  0.09
P (0.500, 0.500, 0.250)  0.20
K (0.000, 0.000, 0.452)  0.02
K (0.000, 0.000, 0.048)  0.02

The crystal system is tetragonal. The value obtained for the magnetic moment is 1.00 μB per formula unit. The calculation puts the theoretical density at 2534 kg/m3. As for the space group: P4/mmm, No. 123. The density of states at the Fermi level comes out at 3.69 states/eV/cell. For the formation energy, the calculation gives 0.055 eV/atom.

=====

# 4
K2BaP | PBE-GGA | optimized geometry

Lattice parameters (Å, degrees): 9.827 9.827 9.827 155.36 150.43 38.86
Positions (direct):
Ba (0.250, 0.750, 0.500)
K (0.903, 0.903, 0.000)
K (0.597, 0.597, 0.000)
P (0.750, 0.250, 0.500)

The crystal system is orthorhombic. The value obtained for the magnetic moment is 0.00 μB per formula unit. The calculation puts the theoretical density at 2100 kg/m3. As for the space group: Immm, No. 71. The density of states at the Fermi level comes out at 2.22 states/eV/cell. For the formation energy, the calculation gives -0.338 eV/atom.

=====

# 5
KBaP | PBE-GGA | optimized geometry

Lattice parameters (Å, degrees): 5.001 5.001 6.174 90.00 90.00 120.00
Positions (direct):
Ba (0.000, 0.000, 0.880)
P (0.333, 0.667, 0.688)
K (0.667, 0.333, 0.432)

The crystal system is trigonal. The value obtained for the magnetic moment is 0.00 μB per formula unit. The calculation puts the theoretical density at 2575 kg/m3. As for the space group: P3m1, No. 156. The density of states at the Fermi level comes out at 1.04 states/eV/cell. For the formation energy, the calculation gives -0.512 eV/atom.

=====

# 6
K2BaP | PBE-GGA | optimized geometry

Lattice parameters (Å, degrees): 8.973 8.973 8.973 152.42 142.39 47.27
Positions (direct):
K (0.009, 0.009, 0.000)
K (0.641, 0.141, 0.500)
P (0.490, 0.490, 0.000)
Ba (0.361, 0.861, 0.500)

The crystal system is orthorhombic. The value obtained for the magnetic moment is 0.17 μB per formula unit. The calculation puts the theoretical density at 2013 kg/m3. As for the space group: Imm2, No. 44. The density of states at the Fermi level comes out at 2.57 states/eV/cell. For the formation energy, the calculation gives -0.261 eV/atom.

=====

# 7
KBa2P3Pd12 | PBE-GGA | optimized geometry

Lattice parameters (Å, degrees): 7.440 7.440 7.440 73.83 73.83 73.83
Positions (direct):
P (0.000, 0.000, 0.500)
P (0.500, 0.000, 0.000)
P (0.000, 0.500, 0.000)
Pd (0.376, 0.854, 0.854)
Pd (0.304, 0.304, 0.905)
Pd (0.095, 0.696, 0.696)
Pd (0.696, 0.095, 0.696)
Pd (0.146, 0.146, 0.624)
Pd (0.905, 0.304, 0.304)
Pd (0.696, 0.696, 0.095)
Pd (0.854, 0.376, 0.854)
Pd (0.146, 0.624, 0.146)
Pd (0.304, 0.905, 0.304)
Pd (0.624, 0.146, 0.146)
Pd (0.854, 0.854, 0.376)
Ba (0.606, 0.606, 0.606)
Ba (0.394, 0.394, 0.394)
K (0.000, 0.000, 0.000)

The crystal system is trigonal. The value obtained for the magnetic moment is 0.00 μB per formula unit. The calculation puts the theoretical density at 7542 kg/m3. As for the space group: R-3m, No. 166. The density of states at the Fermi level comes out at 6.15 states/eV/cell. For the formation energy, the calculation gives -0.229 eV/atom.

=====

# 8
K2BaPPt | PBE-GGA | optimized geometry

Lattice parameters (Å, degrees): 5.860 6.033 5.860 90.00 90.00 90.00
Site moments in Bohr magnetons follow the coordinates.
Positions (direct):
Pt (0.000, 0.000, 0.000)  0.03
K (0.500, 0.000, 0.000)  0.00
K (0.000, 0.000, 0.500)  0.00
Ba (0.000, 0.500, 0.000)  -0.01
P (0.500, 0.500, 0.500)  0.36

The crystal system is tetragonal. The value obtained for the magnetic moment is 1.00 μB per formula unit. The calculation puts the theoretical density at 3540 kg/m3. As for the space group: P4/mmm, No. 123. The density of states at the Fermi level comes out at 3.17 states/eV/cell. For the formation energy, the calculation gives 0.036 eV/atom.

=====

# 9
KBaPS2 | PBE-GGA | optimized geometry

Lattice parameters (Å, degrees): 5.412 6.112 5.412 90.00 90.00 90.00
Site moments in Bohr magnetons follow the coordinates.
Positions (direct):
S (0.000, 0.000, 0.500)  0.47
S (0.500, 0.000, 0.000)  0.43
K (0.000, 0.000, 0.000)  0.01
Ba (0.000, 0.500, 0.000)  0.00
P (0.500, 0.500, 0.500)  0.50

The crystal system is tetragonal. The value obtained for the magnetic moment is 2.65 μB per formula unit. The calculation puts the theoretical density at 2519 kg/m3. As for the space group: P4/mmm, No. 123. The density of states at the Fermi level comes out at 8.54 states/eV/cell. For the calculated total energy, the calculation gives -2.737 eV per atom.

=====

# 10
KBaPS2 | PBE-GGA | optimized geometry

Lattice parameters (Å, degrees): 5.994 5.994 6.292 90.00 90.00 90.00
Site moments in Bohr magnetons follow the coordinates.
Positions (direct):
P (0.000, 0.000, 0.500)  0.93
S (0.000, 0.500, 0.000)  0.51
S (0.500, 0.000, 0.000)  0.51
Ba (0.000, 0.000, 0.000)  0.05
K (0.500, 0.500, 0.500)  0.00

The crystal system is tetragonal. The value obtained for the magnetic moment is 4.04 μB per formula unit. The calculation puts the theoretical density at 1994 kg/m3. As for the space group: P4/mmm, No. 123. The density of states at the Fermi level comes out at 6.31 states/eV/cell. For the calculated total energy, the calculation gives -3.341 eV per atom.

=====

# 11
KBaP2S | PBE-GGA | optimized geometry

Lattice parameters (Å, degrees): 5.336 5.336 5.513 90.00 90.00 90.00
Site moments in Bohr magnetons follow the coordinates.
Positions (direct):
P (0.500, 0.000, 0.000)  0.10
P (0.000, 0.500, 0.000)  0.10
S (0.000, 0.000, 0.500)  0.06
K (0.000, 0.000, 0.000)  0.02
Ba (0.500, 0.500, 0.500)  0.00

The crystal system is tetragonal. The value obtained for the magnetic moment is 0.58 μB per formula unit. The calculation puts the theoretical density at 2861 kg/m3. As for the space group: P4/mmm, No. 123. The density of states at the Fermi level comes out at 6.19 states/eV/cell. For the calculated total energy, the calculation gives -3.087 eV per atom.

=====

# 12
KBaPS2 | PBE-GGA | optimized geometry

Lattice parameters (Å, degrees): 5.495 5.495 5.226 90.00 90.00 90.00
Site moments in Bohr magnetons follow the coordinates.
Positions (direct):
Ba (0.500, 0.500, 0.500)  0.00
K (0.000, 0.000, 0.000)  0.01
S (0.000, 0.500, 0.000)  0.13
S (0.500, 0.000, 0.000)  0.13
P (0.000, 0.000, 0.500)  -0.06

The crystal system is tetragonal. The value obtained for the magnetic moment is 0.28 μB per formula unit. The calculation puts the theoretical density at 2857 kg/m3. As for the space group: P4/mmm, No. 123. The density of states at the Fermi level comes out at 6.84 states/eV/cell. For the calculated total energy, the calculation gives -3.175 eV per atom.